Entry 1:
{"formula": "CaTbGa2Au5", "functional": "PBE", "state": "optimized geometry", "e_form_ev_per_atom": -0.541, "energy_ev_per_atom": -3.77, "lattice": [[-0.636, 3.891, -2.162], [1.263, -1.937, -3.857], [-8.592, -2.320, -1.648]], "species": ["Ca", "Tb", "Ga", "Ga", "Au", "Au", "Au", "Au", "Au"], "fractional_positions": [[0.000, 0.000, 0.500], [0.000, 0.000, 0.000], [0.500, 0.500, 0.134], [0.500, 0.500, 0.866], [0.000, 0.500, 0.270], [0.500, 0.000, 0.270], [0.000, 0.500, 0.730], [0.500, 0.000, 0.730], [0.500, 0.500, 0.500]]}



Entry 2:
{"formula": "SrAcHo2Se4", "functional": "PBE", "state": "optimized geometry", "energy_ev_per_atom": -5.43, "raw_formation_energy_mev_per_atom": -1817, "lattice": [[-1.014, -3.763, 1.565], [6.038, -2.939, -3.153], [5.601, 0.454, 4.721]], "species": ["Sr", "Ac", "Ho", "Ho", "Se", "Se", "Se", "Se"], "fractional_positions": [[0.000, 0.500, 0.500], [0.500, 0.500, 0.000], [0.000, 0.000, 0.000], [0.500, 0.000, 0.500], [0.000, 0.777, 0.737], [0.000, 0.223, 0.263], [0.500, 0.774, 0.245], [0.500, 0.226, 0.755]]}



Entry 3:
{"formula": "ZrZnI2", "functional": "PBE", "state": "optimized geometry", "polymorph_energy_mev_per_atom": 0.0, "energy_ev_per_atom": -3.37, "raw_formation_energy_mev_per_atom": -142, "lattice": [[10.474, 0.000, 0.000], [0.000, 10.474, 0.000], [5.237, 5.237, 2.851]], "species": ["I", "I", "I", "I", "Zn", "Zn", "Zr", "Zr"], "fractional_positions": [[0.778, 0.125, 0.250], [0.972, 0.625, 0.250], [0.375, 0.222, 0.750], [0.875, 0.028, 0.750], [0.500, 0.500, 0.000], [0.250, 0.750, 0.500], [0.000, 0.000, 0.000], [0.750, 0.250, 0.500]]}



| no. | V (Å³ per cell) |
| --- | --- |
| 1 | 183.01 |
| 2 | 216.42 |
| 3 | 312.71 |